1.
! InAs2IrSe | the Alexandria database | meta-GGA SCAN | PBEsol geometry; values from VASP
! Space group   P4/mmm, No. 123
! DFT total energy   -31.20 eV per atom
! DOS(E_F)   0.65 states/eV/atom
! Raw formation energy   1.7882 eV/atom
&SYSTEM
  ibrav = 0, nat = 5, ntyp = 4
/
ATOMIC_SPECIES
As 74.92 As.upf
Ir 192.22 Ir.upf
Se 78.96 Se.upf
In 114.82 In.upf
CELL_PARAMETERS angstrom
-3.043 3.815 0.853
-3.502 -2.180 -2.744
-1.752 -2.308 4.069
ATOMIC_POSITIONS crystal
As 0.000 0.500 0.000
As 0.500 0.000 0.000
Ir 0.500 0.500 0.500
Se 0.000 0.000 0.500
In 0.000 0.000 0.000

2.
! Ba2LiTiTe | the Alexandria database | meta-GGA SCAN | PBEsol geometry; values from VASP
! Space group   P4/mmm, No. 123
! DFT total energy   -26.84 eV per atom
! DOS(E_F)   0.70 states/eV/atom
! Raw formation energy   0.1182 eV/atom
&SYSTEM
  ibrav = 0, nat = 5, ntyp = 4
/
ATOMIC_SPECIES
Te 127.60 Te.upf
Li 6.94 Li.upf
Ba 137.33 Ba.upf
Ti 47.87 Ti.upf
CELL_PARAMETERS angstrom
4.948 0.000 0.000
0.000 6.070 0.000
0.000 0.000 6.070
ATOMIC_POSITIONS crystal
Te 0.500 0.500 0.500
Li 0.500 0.000 0.000
Ba 0.000 0.000 0.500
Ba 0.000 0.500 0.000
Ti 0.000 0.000 0.000

Q: Among the records above, which one has the lowest DOS(E_F)?
A: InAs2IrSe

What did the second record say?
! Ba2LiTiTe | the Alexandria database | meta-GGA SCAN | PBEsol geometry; values from VASP
! Space group   P4/mmm, No. 123
! DFT total energy   -26.84 eV per atom
! DOS(E_F)   0.70 states/eV/atom
! Raw formation energy   0.1182 eV/atom
&SYSTEM
  ibrav = 0, nat = 5, ntyp = 4
/
ATOMIC_SPECIES
Te 127.60 Te.upf
Li 6.94 Li.upf
Ba 137.33 Ba.upf
Ti 47.87 Ti.upf
CELL_PARAMETERS angstrom
4.948 0.000 0.000
0.000 6.070 0.000
0.000 0.000 6.070
ATOMIC_POSITIONS crystal
Te 0.500 0.500 0.500
Li 0.500 0.000 0.000
Ba 0.000 0.000 0.500
Ba 0.000 0.500 0.000
Ti 0.000 0.000 0.000